DFT (PBE) results for an optimized crystal structure of Ag2Rh3.

abc: 11.7780 11.7780 11.7780
angles: 13.53 13.53 13.53
Last column: nearest neighbours and their distance in Å.
Positions (direct):
1 Ag 0.0988 0.0988 0.0988  6 Ag 2.78, 6 Rh 2.87-2.89
2 Ag 0.9012 0.9012 0.9012  6 Ag 2.78, 6 Rh 2.87-2.89
3 Rh 0.3033 0.3033 0.3033  9 Rh 2.64-2.78, 3 Ag 2.89
4 Rh 0.5000 0.5000 0.5000  6 Rh 2.78, 6 Ag 2.87
5 Rh 0.6967 0.6967 0.6967  9 Rh 2.64-2.78, 3 Ag 2.89

Values from the calculation:
Space-group type: R-3m (166)
D(E_F) in states/eV per atom: 1.314
Energy above the most stable polymorph in this dataset in meV/atom: 94.2